# Sc2TiAs2 (SCAN, PBEsol geometry)
data_Sc2TiAs2
_cell_length_a 3.9467
_cell_length_b 3.9467
_cell_length_c 12.0349
_cell_angle_alpha 90.00
_cell_angle_beta 90.00
_cell_angle_gamma 90.00
_space_group_name_H-M_alt 'I 4/m m m'
_space_group_IT_number 139
_space_group_name_Hall '-I 4 2'
loop_
_atom_site_label
_atom_site_fract_x
_atom_site_fract_y
_atom_site_fract_z
_atom_site_occupancy
Sc1 0.0000 0.5000 0.2500 1
Ti1 0.0000 0.0000 0.0000 1
As1 0.0000 0.0000 0.3970 1
# Formation enthalpy at 0 K   -474 meV per atom
# ρ   5.10 Mg/m³